1.
Material: NbCrB
Method: DFT, PBE-GGA
State: optimized geometry

Computed properties:
distance to the lowest polymorph of the same formula = 368 meV per atom
space group = P4/mmm (123)
formation enthalpy at 0 K = -0.080 eV/atom
D(E_F) = 2.711 states/eV/cell
ρ = 6.888 g/cm³

Unit cell a=2.8538 b=2.8538 c=4.6089 alpha=90.00 beta=90.00 gamma=90.00
Last column: nearest neighbours and their distance in Å.
Fractional coordinates of all 3 atoms:
Nb 0.0000 0.0000 0.0000  2 B 2.30
Cr 0.5000 0.5000 0.5000  4 B 2.02
B 0.0000 0.0000 0.5000  4 Cr 2.02

2.
Material: Tb3Sm2DyTm6
Method: DFT, PBE-GGA
State: optimized geometry

Computed properties:
space group = C2/m (12)
formation enthalpy at 0 K = 0.020 eV/atom
D(E_F) = 15.341 states/eV/cell
ρ = 8.701 g/cm³

Unit cell a=6.1233 b=6.1233 c=11.6560 alpha=95.01 beta=95.01 gamma=119.96
Last column: nearest neighbours and their distance in Å.
Fractional coordinates of all 12 atoms:
Tb 0.0000 0.0000 0.0000  6 Tm 3.51, 6 Tb 3.53-3.54
Tb 0.3334 0.6666 0.0000  6 Tm 3.51, 6 Tb 3.53-3.54
Tb 0.6666 0.3334 0.0000  6 Tm 3.51, 6 Tb 3.53-3.54
Sm 0.1666 0.8334 0.5000  6 Tm 3.53, 3 Sm 3.53-3.54, 3 Dy 3.54
Sm 0.8334 0.1666 0.5000  6 Tm 3.53, 3 Sm 3.53-3.54, 3 Dy 3.54
Dy 0.5000 0.5000 0.5000  6 Tm 3.53, 6 Sm 3.54
Tm 0.0828 0.4158 0.2490  3 Tb 3.51, 2 Sm 3.53, 1 Dy 3.53, 6 Tm 3.53-3.54
Tm 0.2513 0.2513 0.7512  3 Tb 3.51, 1 Dy 3.53, 6 Tm 3.53-3.54, 2 Sm 3.53
Tm 0.4158 0.0828 0.2490  3 Tb 3.51, 2 Sm 3.53, 1 Dy 3.53, 6 Tm 3.53-3.54
Tm 0.5842 0.9172 0.7510  3 Tb 3.51, 2 Sm 3.53, 1 Dy 3.53, 6 Tm 3.53-3.54
Tm 0.7487 0.7487 0.2488  3 Tb 3.51, 1 Dy 3.53, 6 Tm 3.53-3.54, 2 Sm 3.53
Tm 0.9172 0.5842 0.7510  3 Tb 3.51, 2 Sm 3.53, 1 Dy 3.53, 6 Tm 3.53-3.54

3.
Material: MnSi2Cl
Method: DFT, PBE-GGA
State: optimized geometry

Computed properties:
distance to the lowest polymorph of the same formula = 410 meV per atom
space group = Pmmm (47)
D(E_F) = 1.813 states/eV/cell
ρ = 3.716 g/cm³
ΔE_f (raw) = 149 kJ/mol of formula units

Unit cell a=2.9351 b=4.3475 c=5.1333 alpha=90.00 beta=90.00 gamma=90.00
Last column: nearest neighbours and their distance in Å.
Fractional coordinates of all 4 atoms:
Mn 0.0000 0.0000 0.0000  4 Cl 2.62, 2 Mn 2.94
Si 0.0000 0.5000 0.5000  6 Si 2.62-2.94
Si 0.5000 0.0000 0.5000  6 Si 2.62-2.94
Cl 0.5000 0.5000 0.0000  4 Mn 2.62, 2 Cl 2.94

4.
Material: BaPrCu2
Method: DFT, PBE-GGA
State: optimized geometry

Computed properties:
distance to the lowest polymorph of the same formula = 86 meV per atom
space group = P4/mmm (123)
formation enthalpy at 0 K = 0.047 eV/atom
D(E_F) = 3.953 states/eV/cell
ρ = 6.303 g/cm³

Unit cell a=5.3697 b=5.3697 c=3.7036 alpha=90.00 beta=90.00 gamma=90.00
Last column: nearest neighbours and their distance in Å.
Fractional coordinates of all 4 atoms:
Ba 0.0000 0.0000 0.0000  8 Cu 3.26
Pr 0.5000 0.5000 0.0000  8 Cu 3.26
Cu 0.0000 0.5000 0.5000  4 Ba 3.26, 4 Pr 3.26
Cu 0.5000 0.0000 0.5000  4 Ba 3.26, 4 Pr 3.26

5.
Material: BaTi2Sb2
Method: DFT, PBE-GGA
State: optimized geometry

Computed properties:
distance to the lowest polymorph of the same formula = 0 meV per atom
space group = I4/mmm (139)
D(E_F) = 6.789 states/eV/cell
ρ = 5.723 g/cm³
ΔE_f (raw) = -288 kJ/mol of formula units

Unit cell a=7.8668 b=7.8668 c=7.8668 alpha=147.73 beta=147.73 gamma=46.28
Last column: nearest neighbours and their distance in Å.
Fractional coordinates of all 5 atoms:
Ba 0.0000 0.0000 0.0000  8 Sb 3.63
Ti 0.2500 0.7500 0.5000  4 Sb 2.78, 4 Ti 3.09
Ti 0.7500 0.2500 0.5000  4 Sb 2.78, 4 Ti 3.09
Sb 0.3690 0.3690 0.0000  4 Ti 2.78
Sb 0.6310 0.6310 0.0000  4 Ti 2.78

6.
Material: TlRh2
Method: DFT, PBE-GGA
State: optimized geometry

Computed properties:
distance to the lowest polymorph of the same formula = 133 meV per atom
space group = P-62m (189)
formation enthalpy at 0 K = 0.309 eV/atom
D(E_F) = 17.705 states/eV/cell
ρ = 13.321 g/cm³

Unit cell a=7.7803 b=7.7803 c=2.9261 alpha=90.00 beta=90.00 gamma=120.00
Last column: nearest neighbours and their distance in Å.
Fractional coordinates of all 9 atoms:
Tl 0.0000 0.0000 0.0000  9 Rh 2.78-2.82, 2 Tl 2.93
Tl 0.3333 0.6667 0.5000  9 Rh 2.71-2.89, 2 Tl 2.93
Tl 0.6667 0.3333 0.5000  9 Rh 2.71-2.89, 2 Tl 2.93
Rh 0.0000 0.3040 0.5000  4 Tl 2.71-2.78, 8 Rh 2.93-3.00
Rh 0.0000 0.6372 0.0000  5 Tl 2.82-2.89, 8 Rh 2.93-3.00
Rh 0.3040 0.0000 0.5000  4 Tl 2.71-2.78, 8 Rh 2.93-3.00
Rh 0.3628 0.3628 0.0000  5 Tl 2.82-2.89, 8 Rh 2.93-3.00
Rh 0.6372 0.0000 0.0000  5 Tl 2.82-2.89, 8 Rh 2.93-3.00
Rh 0.6960 0.6960 0.5000  4 Tl 2.71-2.78, 8 Rh 2.93-3.00

7.
Material: BeTcMo
Method: DFT, PBE-GGA
State: optimized geometry

Computed properties:
distance to the lowest polymorph of the same formula = 224 meV per atom
space group = P3m1 (156)
formation enthalpy at 0 K = 0.030 eV/atom
D(E_F) = 1.788 states/eV/cell
ρ = 8.275 g/cm³

Unit cell a=4.2225 b=4.2225 c=2.6376 alpha=90.00 beta=90.00 gamma=120.00
Last column: nearest neighbours and their distance in Å.
Fractional coordinates of all 3 atoms:
Be 0.0000 0.0000 0.0000  3 Tc 2.59, 2 Be 2.64, 3 Mo 2.64
Tc 0.3333 0.6667 0.6731  3 Mo 2.55, 3 Be 2.59, 2 Tc 2.64
Mo 0.6667 0.3333 0.3860  3 Tc 2.55, 2 Mo 2.64, 3 Be 2.64

8.
Material: LaSb4Os
Method: DFT, PBE-GGA
State: optimized geometry

Computed properties:
space group = F-43m (216)
D(E_F) = 5.372 states/eV/cell
ρ = 8.341 g/cm³
ΔE_f (raw) = 332 kJ/mol of formula units

Unit cell a=6.1251 b=6.1251 c=6.1251 alpha=60.00 beta=60.00 gamma=60.00
Last column: nearest neighbours and their distance in Å.
Fractional coordinates of all 6 atoms:
La 0.0000 0.0000 0.0000  12 Sb 3.59, 4 Os 3.75
Sb 0.3760 0.3760 0.3760  6 Sb 3.04-3.09
Sb 0.3760 0.3760 0.8721  6 Sb 3.04-3.09
Sb 0.3760 0.8721 0.3760  6 Sb 3.04-3.09
Sb 0.8721 0.3760 0.3760  6 Sb 3.04-3.09
Os 0.7500 0.7500 0.7500  12 Sb 3.59, 4 La 3.75

9.
Material: ZrAg2W
Method: DFT, PBE-GGA
State: optimized geometry

Computed properties:
space group = Pmmm (47)
formation enthalpy at 0 K = 0.396 eV/atom
D(E_F) = 3.606 states/eV/cell
ρ = 11.128 g/cm³

Unit cell a=3.1971 b=4.5592 c=5.0246 alpha=90.00 beta=90.00 gamma=90.00
Last column: nearest neighbours and their distance in Å.
Fractional coordinates of all 4 atoms:
Zr 0.0000 0.0000 0.0000  4 W 2.78, 4 Ag 2.98
Ag 0.0000 0.5000 0.5000  4 Ag 2.78, 4 W 2.98
Ag 0.5000 0.0000 0.5000  4 Ag 2.78, 4 Zr 2.98
W 0.5000 0.5000 0.0000  4 Zr 2.78, 4 Ag 2.98

10.
Material: TlOs2O4
Method: DFT, PBE-GGA
State: optimized geometry

Computed properties:
space group = I4/mmm (139)
D(E_F) = 3.257 states/eV/cell
ρ = 9.856 g/cm³
ΔE_f (raw) = 414 kJ/mol of formula units

Unit cell a=6.2254 b=6.2254 c=6.2254 alpha=137.39 beta=137.39 gamma=61.85
Last column: nearest neighbours and their distance in Å.
Fractional coordinates of all 7 atoms:
Tl 0.0000 0.0000 0.0000  6 O 2.26-2.35
Os 0.3911 0.3911 0.0000  1 O 1.83
Os 0.6089 0.6089 0.0000  1 O 1.83
O 0.0000 0.5000 0.5000  2 Tl 2.26
O 0.2201 0.2201 0.0000  1 Os 1.83
O 0.5000 0.0000 0.5000  2 Tl 2.26
O 0.7799 0.7799 0.0000  1 Os 1.83

11.
Material: DyZr2Cu
Method: DFT, PBE-GGA
State: optimized geometry

Computed properties:
distance to the lowest polymorph of the same formula = 246 meV per atom
space group = R3m (160)
formation enthalpy at 0 K = 0.268 eV/atom
D(E_F) = 6.106 states/eV/cell
ρ = 7.123 g/cm³

Unit cell a=5.8564 b=5.8564 c=5.8564 alpha=46.12 beta=46.12 gamma=46.12
Last column: nearest neighbours and their distance in Å.
Fractional coordinates of all 4 atoms:
Dy 0.0000 0.0000 0.0000  4 Cu 3.20-3.33, 7 Zr 3.24-3.36
Zr 0.5459 0.5459 0.5459  3 Cu 2.65
Zr 0.7853 0.7853 0.7853  3 Cu 2.97, 3 Zr 3.03, 3 Dy 3.24
Cu 0.2043 0.2043 0.2043  6 Zr 2.65-2.97

12.
Material: PBr3F
Method: DFT, PBE-GGA
State: optimized geometry

Computed properties:
distance to the lowest polymorph of the same formula = 1580 meV per atom
space group = Pm-3m (221)
D(E_F) = 3.528 states/eV/cell
ρ = 4.146 g/cm³
ΔE_f (raw) = 409 kJ/mol of formula units

Unit cell a=4.8775 b=4.8775 c=4.8775 alpha=90.00 beta=90.00 gamma=90.00
Last column: nearest neighbours and their distance in Å.
Fractional coordinates of all 5 atoms:
P 0.0000 0.0000 0.0000  12 Br 3.45
Br 0.0000 0.5000 0.5000  2 F 2.44
Br 0.5000 0.0000 0.5000  2 F 2.44
Br 0.5000 0.5000 0.0000  2 F 2.44
F 0.5000 0.5000 0.5000  6 Br 2.44

13.
Material: LiHoThCu
Method: DFT, PBE-GGA
State: optimized geometry

Computed properties:
space group = F-43m (216)
formation enthalpy at 0 K = 0.083 eV/atom
D(E_F) = 6.121 states/eV/cell
ρ = 8.418 g/cm³

Unit cell a=5.0710 b=5.0710 c=5.0710 alpha=60.00 beta=60.00 gamma=60.00
Last column: nearest neighbours and their distance in Å.
Fractional coordinates of all 4 atoms:
Li 0.0000 0.0000 0.0000  4 Ho 3.11, 4 Th 3.11
Ho 0.7500 0.7500 0.7500  4 Li 3.11, 4 Cu 3.11
Th 0.2500 0.2500 0.2500  4 Li 3.11, 4 Cu 3.11
Cu 0.5000 0.5000 0.5000  4 Ho 3.11, 4 Th 3.11